(1)
This record from Alexandria describes a geometry-optimized SiBr2O structure. The functional is PBE.

theoretical density: 4.19 Mg/m³
magnetization: 0.00 μB/f.u.
uncorrected formation energy: 598 meV/atom
energy relative to the lowest polymorph listed for this composition: 168 meV per atom
Fermi-level density of states: 0.090 states/eV per atom

Lattice parameters (Å, degrees): 5.9463 5.9463 5.9463 111.20 111.20 106.07
With the nearest neighbours (Å) after each atom.
Fractional coordinates of all 8 atoms:
Si (0.0000, 0.0000, 0.0000)  4 Br 2.52
Si (0.7500, 0.2500, 0.5000)  4 Br 2.52
Br (0.1214, 0.6250, 0.9964)  2 Si 2.52, 2 O 2.55
Br (0.3750, 0.3714, 0.4964)  2 Si 2.52, 2 O 2.55
Br (0.6286, 0.1250, 0.0036)  2 Si 2.52, 2 O 2.55
Br (0.8750, 0.8786, 0.5036)  2 Si 2.52, 2 O 2.55
O (0.2500, 0.7500, 0.5000)  4 Br 2.55
O (0.5000, 0.5000, 0.0000)  4 Br 2.55

***

(2)
This record from Alexandria describes a geometry-optimized SiBrO3 structure. The functional is PBE.

theoretical density: 4.05 Mg/m³
magnetization: 0.00 μB/f.u.
uncorrected formation energy: 637 meV/atom
Fermi-level density of states: 0.309 states/eV per atom

Lattice parameters (Å, degrees): 3.9983 3.9983 3.9983 90.00 90.00 90.00
With the nearest neighbours (Å) after each atom.
Fractional coordinates of all 5 atoms:
Si (0.0000, 0.0000, 0.0000)  12 O 2.83
Br (0.5000, 0.5000, 0.5000)  6 O 2.00
O (0.0000, 0.5000, 0.5000)  2 Br 2.00
O (0.5000, 0.0000, 0.5000)  2 Br 2.00
O (0.5000, 0.5000, 0.0000)  2 Br 2.00

***

(3)
This record from Alexandria describes a geometry-optimized Si2BrO structure. The functional is PBE.

theoretical density: 3.45 Mg/m³
magnetization: 0.00 μB/f.u.
uncorrected formation energy: -168 meV/atom
energy relative to the lowest polymorph listed for this composition: 0 meV per atom
Fermi-level density of states: 0.260 states/eV per atom

Lattice parameters (Å, degrees): 7.4904 7.4904 7.4904 143.68 143.68 52.31
With the nearest neighbours (Å) after each atom.
Fractional coordinates of all 8 atoms:
Si (0.3750, 0.1889, 0.3139)  2 O 2.07
Si (0.8111, 0.1250, 0.1861)  2 O 2.07
Si (0.8750, 0.0611, 0.6861)  2 O 2.07
Si (0.9389, 0.6250, 0.8139)  2 O 2.07
Br (0.2500, 0.7500, 0.5000)  4 Si 2.89
Br (0.5000, 0.5000, 0.0000)  4 Si 2.89
O (0.0000, 0.0000, 0.0000)  4 Si 2.07
O (0.7500, 0.2500, 0.5000)  4 Si 2.07

***

(4)
This record from Alexandria describes a geometry-optimized SiBr2O structure. The functional is PBE.

theoretical density: 3.53 Mg/m³
magnetization: 0.00 μB/f.u.
uncorrected formation energy: 430 meV/atom
energy relative to the lowest polymorph listed for this composition: 0 meV per atom
Fermi-level density of states: 0.218 states/eV per atom

Lattice parameters (Å, degrees): 7.7668 7.7668 7.7668 28.74 28.74 28.74
With the nearest neighbours (Å) after each atom.
Fractional coordinates of all 4 atoms:
Si (0.0000, 0.0000, 0.0000)  6 Br 2.80
Br (0.4096, 0.4096, 0.4096)  1 O 2.02
Br (0.5904, 0.5904, 0.5904)  1 O 2.02
O (0.5000, 0.5000, 0.5000)  2 Br 2.02